Entry 1:
The following is a PBE calculation of Nd7Dy3Th after structural relaxation, from Alexandria.

Its formation energy from the elements is 0.194 eV/atom. The value obtained for the total DFT energy (no corrections) is -0.351 Ry per atom. As for the total magnetization: 0.000 μB per atom. The calculation puts the density of states at the Fermi level at 15.579 states/eV/f.u. As for the space group: C2/c, No. 15.

Cell and atoms, written as extended XYZ:
```
22
Lattice="9.798 -2.435 -2.050 -5.661 8.363 2.051 -2.545 1.778 12.243" Properties=species:S:1:pos:R:3 pbc="T T T"
Dy 9.798 -2.435 -2.050
Nd 5.567 2.709 -0.389
Nd -3.820 7.113 4.750
Th -0.476 4.742 12.243
Dy 8.525 -1.546 4.071
Nd 2.382 4.770 3.061
Nd 2.242 0.656 5.732
Nd 3.546 -0.224 -0.341
Nd -3.975 4.997 12.633
Nd 4.297 3.566 5.780
Dy 3.965 1.657 2.650
Dy -2.373 6.049 9.593
Dy -1.084 5.184 3.472
Nd 6.717 -0.248 1.372
Th 0.796 3.853 6.122
Nd -0.790 2.936 9.183
Nd -5.125 7.954 10.872
Nd -2.705 4.140 6.464
Dy 2.676 2.522 8.771
Nd -1.954 7.930 12.585
Nd 5.412 0.593 7.493
Nd -0.650 7.050 6.512
```

***

Entry 2:
The following is a PBE calculation of NdDy7Th2 after structural relaxation, from Alexandria.

Its formation energy from the elements is 0.432 eV/atom. The value obtained for the total DFT energy (no corrections) is -0.349 Ry per atom. As for the total magnetization: 0.000 μB per atom. The calculation puts the density of states at the Fermi level at 16.885 states/eV/f.u. As for the space group: C2/m, No. 12.

Cell and atoms, written as extended XYZ:
```
10
Lattice="5.383 -1.150 -0.796 -1.258 8.248 -1.189 -1.259 1.791 8.136" Properties=species:S:1:pos:R:3 pbc="T T T"
Dy 0.722 3.212 0.145
Dy 4.124 2.817 4.197
Dy 0.722 1.267 2.955
Th 1.433 2.227 6.280
Th 1.433 6.662 -0.128
Dy 2.144 7.623 3.197
Dy -1.258 6.072 1.955
Dy 2.144 5.677 6.007
Nd 0.000 0.000 0.000
Dy 1.433 4.445 3.076
```

***

Entry 3:
The following is a PBE calculation of Nd2Dy5Th5 after structural relaxation, from Alexandria.

Its formation energy from the elements is 0.049 eV/atom. The value obtained for the total DFT energy (no corrections) is -0.423 Ry per atom. As for the total magnetization: 0.000 μB per atom. The calculation puts the density of states at the Fermi level at 17.437 states/eV/f.u. As for the space group: C2/m, No. 12.

Cell and atoms, written as extended XYZ:
```
12
Lattice="-3.278 3.174 -2.169 -7.390 -2.956 0.959 -4.426 5.139 8.326" Properties=species:S:1:pos:R:3 pbc="T T T"
Dy -9.277 -0.136 2.053
Dy -7.547 2.679 3.558
Th -11.141 2.730 3.180
Nd -9.411 5.521 4.650
Th -9.713 2.390 6.410
Dy -11.544 5.254 7.482
Th -3.953 2.628 3.937
Dy -3.551 0.104 -0.366
Th -5.381 2.967 0.706
Th 0.000 0.000 0.000
Dy -5.817 5.494 5.063
Nd -5.684 -0.164 2.466
```

***

Entry 4:
The following is a PBE calculation of Nd8Dy5Th after structural relaxation, from Alexandria.

Its formation energy from the elements is 0.199 eV/atom. The value obtained for the total DFT energy (no corrections) is -0.345 Ry per atom. As for the total magnetization: 0.000 μB per atom. The calculation puts the density of states at the Fermi level at 16.978 states/eV/f.u. As for the space group: C2, No. 5.

Cell and atoms, written as extended XYZ:
```
14
Lattice="8.642 -0.073 -3.759 -3.869 6.173 -2.915 -0.763 0.073 9.392" Properties=species:S:1:pos:R:3 pbc="T T T"
Dy -1.651 2.702 1.077
Dy 2.119 0.247 -0.824
Dy 4.495 3.471 0.808
Dy 4.678 5.853 -4.402
Nd 1.151 5.697 2.785
Nd 5.448 0.517 -0.444
Nd 3.051 2.510 5.059
Dy -0.287 6.173 -0.355
Nd -2.568 3.668 7.388
Nd -2.527 5.656 2.383
Nd 1.529 2.577 1.658
Nd 7.018 0.476 2.907
Nd 1.905 3.663 -1.664
Th -0.577 3.123 4.482
```

***

Entry 5:
The following is a PBE calculation of Nd4Dy2Th after structural relaxation, from Alexandria.

Its formation energy from the elements is 0.041 eV/atom. The value obtained for the total DFT energy (no corrections) is -0.372 Ry per atom. The value obtained for the energy above the most stable polymorph in this dataset is 0.0 meV/atom. As for the total magnetization: 0.000 μB per atom. The calculation puts the density of states at the Fermi level at 10.885 states/eV/f.u. As for the space group: Cm, No. 8.

Cell and atoms, written as extended XYZ:
```
7
Lattice="3.638 0.000 0.000 -1.819 3.137 -0.266 0.000 -0.363 20.782" Properties=species:S:1:pos:R:3 pbc="T T T"
Nd 1.819 2.217 19.684
Dy 1.819 0.698 1.955
Nd 0.000 2.504 10.616
Nd 0.000 -0.085 4.956
Th 1.819 1.714 13.666
Nd 1.819 -0.152 16.775
Dy 1.819 1.195 7.777
```

***

Entry 6:
The following is a PBE calculation of Nd3Dy8Th after structural relaxation, from Alexandria.

Its formation energy from the elements is 0.032 eV/atom. The value obtained for the total DFT energy (no corrections) is -0.356 Ry per atom. As for the total magnetization: 0.000 μB per atom. The calculation puts the density of states at the Fermi level at 21.610 states/eV/f.u. As for the space group: C2, No. 5.

Cell and atoms, written as extended XYZ:
```
12
Lattice="6.975 0.317 -4.876 -3.040 7.890 -1.105 -1.717 -0.317 8.335" Properties=species:S:1:pos:R:3 pbc="T T T"
Dy -2.916 7.042 4.460
Dy 5.160 0.848 -2.089
Dy 2.177 2.687 -1.376
Dy 4.186 1.367 1.324
Dy -0.167 6.522 2.215
Th 0.839 0.000 0.552
Dy -0.523 3.234 0.823
Dy 3.533 5.519 -3.437
Nd 1.417 1.886 3.514
Nd -1.534 3.787 4.171
Nd 0.748 6.003 -1.194
Dy 2.767 4.656 1.549
```

***

Entry 7:
The following is a PBE calculation of NdDy7Th3 after structural relaxation, from Alexandria.

Its formation energy from the elements is 0.216 eV/atom. The value obtained for the total DFT energy (no corrections) is -0.380 Ry per atom. The value obtained for the energy above the most stable polymorph in this dataset is 64.9 meV/atom. As for the total magnetization: 0.000 μB per atom. The calculation puts the density of states at the Fermi level at 14.910 states/eV/f.u. As for the space group: P3m1, No. 156.

Cell and atoms, written as extended XYZ:
```
11
Lattice="8.583 0.000 0.000 0.000 7.079 0.000 0.000 -3.540 6.131" Properties=species:S:1:pos:R:3 pbc="T T T"
Dy 0.968 -1.761 5.104
Dy 3.880 1.786 1.031
Dy 0.958 3.540 2.044
Th 6.732 1.781 3.059
Dy 3.880 3.540 4.068
Th 6.732 3.540 0.013
Th 6.732 5.299 3.059
Dy 0.968 1.761 5.104
Dy 3.880 5.293 1.031
Nd 3.914 0.000 4.087
Dy 0.968 0.000 2.054
```

***

Entry 8:
The following is a PBE calculation of Nd4Dy15Th after structural relaxation, from Alexandria.

Its formation energy from the elements is 0.022 eV/atom. The value obtained for the total DFT energy (no corrections) is -0.349 Ry per atom. As for the total magnetization: 0.000 μB per atom. The calculation puts the density of states at the Fermi level at 26.886 states/eV/f.u. As for the space group: P4/mmm, No. 123.

Cell and atoms, written as extended XYZ:
```
20
Lattice="5.062 0.000 0.000 0.000 5.062 0.000 0.000 0.000 25.159" Properties=species:S:1:pos:R:3 pbc="T T T"
Dy 2.531 0.000 17.633
Dy 0.000 2.531 17.633
Nd 0.000 0.000 20.157
Dy 0.000 2.531 2.454
Dy 2.531 2.531 20.145
Dy 2.531 0.000 2.454
Dy 2.531 0.000 22.704
Dy 2.531 2.531 10.051
Nd 0.000 0.000 15.103
Dy 0.000 2.531 22.704
Dy 0.000 2.531 7.525
Dy 2.531 0.000 12.579
Nd 0.000 0.000 10.056
Dy 2.531 0.000 7.525
Dy 0.000 2.531 12.579
Dy 2.531 2.531 5.013
Dy 2.531 2.531 15.107
Nd 0.000 0.000 5.001
Dy 2.531 2.531 0.000
Th 0.000 0.000 0.000
```

***

Entry 9:
The following is a PBE calculation of Nd6Dy2Th after structural relaxation, from Alexandria.

Its formation energy from the elements is 0.061 eV/atom. The value obtained for the total DFT energy (no corrections) is -0.365 Ry per atom. As for the total magnetization: 0.000 μB per atom. The calculation puts the density of states at the Fermi level at 14.892 states/eV/f.u. As for the space group: P-6m2, No. 187.

Cell and atoms, written as extended XYZ:
```
9
Lattice="3.635 0.000 0.000 -1.818 3.148 0.000 0.000 0.000 27.171" Properties=species:S:1:pos:R:3 pbc="T T T"
Nd 1.818 1.049 2.951
Nd 0.000 2.099 15.385
Nd 0.000 2.099 11.786
Nd 0.000 2.099 6.016
Dy 1.818 1.049 18.218
Nd 0.000 2.099 21.155
Th 0.000 2.099 0.000
Dy 1.818 1.049 8.953
Nd 1.818 1.049 24.220
```

***

Entry 10:
The following is a PBE calculation of NdDy4Th after structural relaxation, from Alexandria.

Its formation energy from the elements is 0.329 eV/atom. The value obtained for the total DFT energy (no corrections) is -0.351 Ry per atom. The value obtained for the energy above the most stable polymorph in this dataset is 302.7 meV/atom. As for the total magnetization: 0.461 μB per atom. The calculation puts the density of states at the Fermi level at 13.865 states/eV/f.u. As for the space group: F-43m, No. 216.

Cell and atoms, written as extended XYZ:
```
6
Lattice="-3.005 5.642 -1.537 -6.549 0.193 -0.546 -3.584 3.153 4.521" Properties=species:S:1:pos:R:3 pbc="T T T"
Dy -8.199 5.609 1.521
Dy -6.708 2.810 2.283
Th -3.285 2.247 0.609
Nd 0.000 0.000 0.000
Dy -4.950 5.513 1.792
Dy -6.421 4.044 -0.722
```